Entry from Alexandria: an optimized crystal structure of Ba6P2Se3I (GGA-PBE).

Lattice parameters (Å, degrees): 10.652 10.652 9.728 103.14 103.14 25.34
Fractional coordinates of all 12 atoms:
Ba 0.005 0.005 0.276
Ba 0.323 0.323 0.904
Ba 0.329 0.329 0.418
Ba 0.671 0.671 0.582
Ba 0.677 0.677 0.096
Ba 0.995 0.995 0.724
P 0.165 0.165 0.331
P 0.835 0.835 0.669
Se 0.161 0.161 0.836
Se 0.500 0.500 0.500
Se 0.839 0.839 0.164
I 0.500 0.500 0.000

Values from the calculation:
Uncorrected energy   -4.43 eV/atom
Symmetry   C2/m
DOS(E_F)   9.4 states/eV/cell



Entry from Alexandria: an optimized crystal structure of SbHO2F (GGA-PBE).

Lattice parameters (Å, degrees): 3.864 3.864 4.186 90.00 90.00 90.00
Fractional coordinates of all 5 atoms:
Sb 0.000 0.000 0.000
H 0.500 0.500 0.500
O 0.000 0.500 0.000
O 0.500 0.000 0.000
F 0.000 0.000 0.500

Values from the calculation:
Uncorrected energy   -4.51 eV/atom
Symmetry   P4/mmm
DOS(E_F)   2.2 states/eV/cell



Entry from Alexandria: an optimized crystal structure of BaGaS2N (GGA-PBE).

Lattice parameters (Å, degrees): 5.065 5.065 4.059 90.00 90.00 90.00
Fractional coordinates of all 5 atoms:
Ba 0.000 0.000 0.000
Ga 0.500 0.500 0.500
S 0.000 0.500 0.500
S 0.500 0.000 0.500
N 0.500 0.500 0.000

Values from the calculation:
Uncorrected energy   -4.70 eV/atom
Relative energy among the computed polymorphs   0.00 eV per formula unit
Symmetry   P4/mmm
DOS(E_F)   2.5 states/eV/cell